Material: CeCoSb3
Method: DFT, SCAN
State: single point on PBEsol structure

**Calculated total energy**: -35.297 eV/atom
**SG**: Pbcm, No. 57
**Energy relative to the elements, uncorrected**: -567 meV per atom
**Spin magnetization**: 0.12 μB/atom

Cell lengths 6.093, 11.978, 12.258 Å; angles 90.00, 90.00, 90.00 degrees
Last column: magnetic moment on the atom in μB.
Element x y z (fractional)
Co: 0.037 0.864 0.102  -0.06
Co: 0.963 0.364 0.898  -0.06
Co: 0.463 0.136 0.102  -0.06
Co: 0.537 0.636 0.898  -0.06
Co: 0.037 0.636 0.102  -0.06
Co: 0.463 0.364 0.102  -0.06
Co: 0.537 0.864 0.898  -0.06
Co: 0.963 0.136 0.898  -0.06
Sb: 0.270 0.750 0.776  -0.01
Sb: 0.017 0.624 0.497  -0.02
Sb: 0.250 0.000 0.971  0.00
Sb: 0.983 0.376 0.503  -0.02
Sb: 0.385 0.750 0.056  0.01
Sb: 0.750 0.000 0.773  -0.02
Sb: 0.017 0.876 0.497  -0.02
Sb: 0.750 0.000 0.029  0.00
Sb: 0.750 0.500 0.029  0.00
Sb: 0.483 0.124 0.497  -0.02
Sb: 0.750 0.500 0.773  -0.02
Sb: 0.615 0.250 0.944  0.01
Sb: 0.770 0.750 0.224  -0.01
Sb: 0.983 0.124 0.503  -0.02
Sb: 0.885 0.750 0.944  0.01
Sb: 0.230 0.250 0.776  -0.01
Sb: 0.483 0.376 0.497  -0.02
Sb: 0.730 0.250 0.224  -0.01
Sb: 0.517 0.876 0.503  -0.02
Sb: 0.250 0.000 0.227  -0.02
Sb: 0.250 0.500 0.227  -0.02
Sb: 0.250 0.500 0.971  0.00
Sb: 0.517 0.624 0.503  -0.02
Sb: 0.115 0.250 0.056  0.01
Ce: 0.750 0.000 0.300  0.67
Ce: 0.775 0.750 0.698  0.61
Ce: 0.725 0.250 0.698  0.61
Ce: 0.750 0.500 0.300  0.67
Ce: 0.275 0.750 0.302  0.61
Ce: 0.250 0.000 0.700  0.67
Ce: 0.250 0.500 0.700  0.67
Ce: 0.225 0.250 0.302  0.61



Material: CeCoSb2
Method: DFT, SCAN
State: single point on PBEsol structure

**Calculated total energy**: -34.784 eV/atom
**SG**: P4/nmm, No. 129
**Energy relative to the elements, uncorrected**: -687 meV per atom
**Spin magnetization**: 0.16 μB/atom

Cell lengths 4.311, 4.311, 9.354 Å; angles 90.00, 90.00, 90.00 degrees
Last column: magnetic moment on the atom in μB.
Element x y z (fractional)
Sb: 0.000 0.500 0.855  0.02
Sb: 0.500 0.000 0.145  0.02
Sb: 0.500 0.500 0.500  0.01
Sb: 0.000 0.000 0.500  0.01
Ce: 0.000 0.500 0.233  -0.60
Ce: 0.500 0.000 0.767  -0.60
Co: 0.500 0.500 0.000  1.35
Co: 0.000 0.000 0.000  1.35



Material: CeCoSi
Method: DFT, SCAN
State: single point on PBEsol structure

**Calculated total energy**: -24.593 eV/atom
**SG**: P4/nmm, No. 129
**Energy relative to the elements, uncorrected**: -632 meV per atom
**Spin magnetization**: 0.41 μB/atom

Cell lengths 3.947, 3.947, 6.682 Å; angles 90.00, 90.00, 90.00 degrees
Last column: magnetic moment on the atom in μB.
Element x y z (fractional)
Ce: 0.000 0.500 0.326  0.65
Ce: 0.500 0.000 0.674  0.65
Si: 0.000 0.500 0.821  -0.03
Si: 0.500 0.000 0.179  -0.03
Co: 0.500 0.500 0.000  0.45
Co: 0.000 0.000 0.000  0.45



Material: Ce2VCo16
Method: DFT, SCAN
State: single point on PBEsol structure

**Calculated total energy**: -20.202 eV/atom
**ΔH_f (0 K)**: -0.35 eV/f.u.
**SG**: P-3m1, No. 164
**Spin magnetization**: 1.05 μB/atom

Cell lengths 7.988, 8.154, 8.154 Å; angles 120.00, 90.00, 90.00 degrees
Last column: magnetic moment on the atom in μB.
Element x y z (fractional)
Ce: 0.261 0.333 0.667  -0.99
Ce: 0.739 0.667 0.333  -0.99
Ce: 0.754 0.000 0.000  -1.04
Ce: 0.246 0.000 0.000  -1.04
Co: 0.750 0.629 0.672  1.63
Co: 0.026 0.169 0.338  1.45
Co: 0.500 0.500 0.000  1.65
Co: 0.519 0.333 0.167  1.64
Co: 0.500 0.500 0.500  1.65
Co: 0.250 0.672 0.044  1.63
Co: 0.750 0.328 0.956  1.63
Co: 0.250 0.371 0.044  1.63
Co: 0.974 0.831 0.662  1.45
Co: 0.250 0.956 0.629  1.63
Co: 0.000 0.500 0.500  1.47
Co: 0.000 0.500 0.000  1.47
Co: 0.500 0.000 0.500  1.65
Co: 0.750 0.044 0.371  1.63
Co: 0.250 0.371 0.328  1.63
Co: 0.250 0.956 0.328  1.63
Co: 0.519 0.833 0.167  1.64
Co: 0.481 0.167 0.333  1.64
Co: 0.750 0.629 0.956  1.63
Co: 0.974 0.338 0.169  1.45
Co: 0.519 0.833 0.667  1.64
Co: 0.974 0.831 0.169  1.45
Co: 0.000 0.000 0.500  1.47
Co: 0.481 0.167 0.833  1.64
Co: 0.750 0.328 0.371  1.63
Co: 0.750 0.044 0.672  1.63
Co: 0.026 0.662 0.831  1.45
Co: 0.250 0.672 0.629  1.63
Co: 0.481 0.667 0.833  1.64
Co: 0.026 0.169 0.831  1.45
Co: 0.390 0.667 0.333  1.35
Co: 0.610 0.333 0.667  1.35
V: 0.113 0.667 0.333  -1.72
V: 0.887 0.333 0.667  -1.72



Material: CeYCo4
Method: DFT, SCAN
State: single point on PBEsol structure

**Calculated total energy**: -23.672 eV/atom
**ΔH_f (0 K)**: -0.41 eV/f.u.
**SG**: F-43m, No. 216
**Spin magnetization**: 0.48 μB/atom

Cell lengths 4.929, 4.929, 4.929 Å; angles 60.00, 60.00, 60.00 degrees
Last column: magnetic moment on the atom in μB.
Element x y z (fractional)
Co: 0.625 0.125 0.625  1.14
Co: 0.125 0.625 0.625  1.14
Co: 0.625 0.625 0.125  1.14
Co: 0.625 0.625 0.625  1.14
Ce: 0.250 0.250 0.250  -0.86
Y: 0.000 0.000 0.000  -0.41



Material: CeZnCo2
Method: DFT, SCAN
State: single point on PBEsol structure

**Calculated total energy**: -23.279 eV/atom
**ΔH_f (0 K)**: -0.43 eV/f.u.
**SG**: P6_3/mmc, No. 194
**Spin magnetization**: 0.28 μB/atom

Cell lengths 5.035, 5.035, 15.716 Å; angles 90.00, 90.00, 120.00 degrees
Last column: magnetic moment on the atom in μB.
Element x y z (fractional)
Co: 0.168 0.832 0.125  1.14
Co: 0.337 0.168 0.625  1.14
Co: 0.168 0.832 0.375  1.14
Co: 0.663 0.832 0.375  1.14
Co: 0.832 0.663 0.875  1.14
Co: 0.168 0.337 0.125  1.14
Co: 0.337 0.168 0.875  1.14
Co: 0.663 0.832 0.125  1.14
Co: 0.832 0.663 0.625  1.14
Co: 0.832 0.168 0.625  1.14
Co: 0.832 0.168 0.875  1.14
Co: 0.168 0.337 0.375  1.14
Ce: 0.333 0.667 0.551  -0.80
Ce: 0.333 0.667 0.949  -0.80
Ce: 0.667 0.333 0.449  -0.80
Ce: 0.667 0.333 0.051  -0.80
Ce: 0.333 0.667 0.750  -0.85
Ce: 0.667 0.333 0.250  -0.85
Zn: 0.000 0.000 0.500  -0.04
Zn: 0.000 0.000 0.000  -0.04
Zn: 0.000 0.000 0.250  -0.05
Zn: 0.667 0.333 0.750  -0.05
Zn: 0.333 0.667 0.250  -0.05
Zn: 0.000 0.000 0.750  -0.05



Material: CeZn2Co
Method: DFT, SCAN
State: single point on PBEsol structure

**Calculated total energy**: -22.571 eV/atom
**ΔH_f (0 K)**: -1.39 eV/f.u.
**SG**: Cmcm, No. 63
**Spin magnetization**: 0.00 μB/atom

Cell lengths 3.930, 4.803, 7.655 Å; angles 90.00, 90.00, 114.15 degrees
Element x y z (fractional)
Zn: 0.154 0.309 0.039
Zn: 0.846 0.691 0.961
Zn: 0.154 0.309 0.461
Zn: 0.846 0.691 0.539
Co: 0.306 0.613 0.750
Co: 0.694 0.387 0.250
Ce: 0.552 0.105 0.750
Ce: 0.448 0.895 0.250



Material: Ce2ZrCo16
Method: DFT, SCAN
State: single point on PBEsol structure

**Calculated total energy**: -20.903 eV/atom
**ΔH_f (0 K)**: -0.45 eV/f.u.
**SG**: P-3m1, No. 164
**Spin magnetization**: 1.10 μB/atom

Cell lengths 8.060, 8.234, 8.234 Å; angles 120.00, 90.00, 90.00 degrees
Last column: magnetic moment on the atom in μB.
Element x y z (fractional)
Co: 0.500 0.500 0.000  1.62
Co: 0.251 0.673 0.636  1.63
Co: 0.251 0.963 0.636  1.63
Co: 0.028 0.163 0.837  1.48
Co: 0.972 0.837 0.163  1.48
Co: 0.000 0.000 0.500  1.30
Co: 0.485 0.668 0.834  1.67
Co: 0.515 0.332 0.166  1.67
Co: 0.749 0.037 0.364  1.63
Co: 0.251 0.364 0.037  1.63
Co: 0.749 0.636 0.673  1.63
Co: 0.515 0.834 0.166  1.67
Co: 0.749 0.037 0.673  1.63
Co: 0.000 0.500 0.000  1.30
Co: 0.515 0.834 0.668  1.67
Co: 0.749 0.636 0.963  1.63
Co: 0.500 0.000 0.500  1.62
Co: 0.028 0.163 0.325  1.48
Co: 0.028 0.675 0.837  1.48
Co: 0.591 0.333 0.667  1.25
Co: 0.251 0.364 0.327  1.63
Co: 0.485 0.166 0.332  1.67
Co: 0.251 0.673 0.037  1.63
Co: 0.000 0.500 0.500  1.30
Co: 0.409 0.667 0.333  1.25
Co: 0.500 0.500 0.500  1.62
Co: 0.749 0.327 0.364  1.63
Co: 0.251 0.963 0.327  1.63
Co: 0.972 0.325 0.163  1.48
Co: 0.485 0.166 0.834  1.67
Co: 0.749 0.327 0.963  1.63
Co: 0.972 0.837 0.675  1.48
Ce: 0.270 0.333 0.667  -0.99
Ce: 0.248 0.000 0.000  -1.02
Ce: 0.752 0.000 0.000  -1.02
Ce: 0.730 0.667 0.333  -0.99
Zr: 0.112 0.667 0.333  -0.51
Zr: 0.888 0.333 0.667  -0.51



- The lowest calculated total energy belongs to which entry?
  CeCoSb3



- Among the records above, which one has the highest spin magnetization?
  Ce2ZrCo16